Entry 1:
DFT (PBE) results for a geometry-optimized NdSi structure.

Output
As for the electronic total energy: -5.67 eV/atom. As for the space group: P6_3/mmc, No. 194.

```
NdSi
1.0
-2.396 3.668 -1.756
-0.480 -1.173 4.547
4.156 3.337 1.300
Nd Si
2 2
Direct
0.667 0.333 0.750
0.333 0.667 0.250
0.000 0.000 0.000
0.000 0.000 0.500
```


Entry 2:
DFT (PBE) results for a geometry-optimized Na4Zn2SiGe structure.

Output
As for the electronic total energy: -2.32 eV/atom. As for the space group: P-6m2, No. 187.

```
Na4Zn2SiGe
1.0
4.498 0.000 0.000
-2.249 3.895 0.000
0.000 0.000 9.798
Zn Na Si Ge
2 4 1 1
Direct
0.667 0.333 0.500
0.667 0.333 0.000
0.333 0.667 0.168
0.333 0.667 0.832
0.000 0.000 0.665
0.000 0.000 0.335
0.333 0.667 0.500
0.000 0.000 0.000
```


Entry 3:
DFT (PBE) results for a geometry-optimized Ni3P5Au structure.

Output
As for the electronic total energy: -5.07 eV/atom. As for the space group: P6/mmm, No. 191.

```
Ni3P5Au
1.0
4.735 0.000 0.000
-2.367 4.101 0.000
0.000 0.000 6.829
Ni P Au
3 5 1
Direct
0.000 0.500 0.500
0.500 0.500 0.500
0.500 0.000 0.500
0.667 0.333 0.782
0.333 0.667 0.782
0.333 0.667 0.218
0.000 0.000 0.500
0.667 0.333 0.218
0.000 0.000 0.000
```


Entry 4:
DFT (PBE) results for a geometry-optimized SmYNO structure.

Output
As for the electronic total energy: -8.26 eV/atom. As for the space group: Pbcm, No. 57.

```
SmYNO
1.0
6.732 0.000 0.000
0.000 8.162 0.000
0.000 0.000 4.993
Y Sm N O
4 4 4 4
Direct
0.084 0.124 0.050
0.584 0.876 0.050
0.416 0.124 0.550
0.916 0.876 0.550
0.570 0.376 0.051
0.070 0.624 0.051
0.430 0.624 0.551
0.930 0.376 0.551
0.425 0.121 0.051
0.075 0.121 0.551
0.575 0.879 0.551
0.925 0.879 0.051
0.910 0.362 0.051
0.410 0.638 0.051
0.590 0.362 0.551
0.090 0.638 0.551
```